## ZnBiMoF2 (PBE+U)

Data for ZnBiMoF2 after structural relaxation.

Structure (CIF):
```
data_ZnBiMoF2
_chemical_formula_sum 'Zn1 Bi1 Mo1 F2'
_cell_length_a 4.527
_cell_length_b 4.527
_cell_length_c 6.173
_cell_angle_alpha 90.00
_cell_angle_beta 90.00
_cell_angle_gamma 90.00
_space_group_name_H-M_alt 'P 4/m m m'
_space_group_IT_number 123
_space_group_name_Hall '-P 4 2'
loop_
_atom_site_label
_atom_site_fract_x
_atom_site_fract_y
_atom_site_fract_z
_atom_site_occupancy
Zn1 0.000 0.000 0.000 1
Bi1 0.500 0.500 0.500 1
Mo1 0.500 0.500 0.000 1
F1 0.000 0.500 0.500 1
```

raw total energy	-3.790	eV/atom